# 1
Ac5Al2Ge5 | GGA-PBE | relaxed

Cell: 16.0067 4.4001 12.2675 Å, 90.00 127.47 90.00°
With the nearest neighbours (Å) after each atom.
Space group C2/m (No. 12)
Inequivalent atoms, fractional coordinates:
Ac: 0.0000 0.0000 0.0000 x2  4 Al 3.35, 6 Ge 3.39
Ac: 0.1293 0.5000 0.8271 x4  5 Ge 3.25-3.32, 1 Al 3.41
Ac: 0.1810 0.5000 0.5764 x4  7 Ge 3.29-3.55, 3 Al 3.37, 1 Ac 3.64
Al: 0.1177 0.5000 0.2598 x4  3 Ge 2.54-2.61
Ge: 0.0000 0.0000 0.5000 x2  2 Ge 2.97, 4 Ac 3.29
Ge: 0.0665 0.0000 0.3206 x4  2 Al 2.61
Ge: 0.2016 0.5000 0.1386 x4  1 Al 2.54

Values from the calculation:
Calculated volume, Å³ per cell: 685.77
ΔH_f (0 K), eV/f.u.: -7.461
Total DFT energy (no corrections), eV per atom: -4.8812
Magnetization, μB/f.u.: 0.00

# 2
Nd4ZnPt | GGA-PBE | relaxed

Cell: 13.9884 13.9884 13.9884 Å, 90.00 90.00 90.00°
With the nearest neighbours (Å) after each atom.
Space group F-43m (No. 216)
Inequivalent atoms, fractional coordinates:
Nd: 0.0000 0.0000 0.1861 x24  2 Zn 3.38, 10 Nd 3.58-3.69, 2 Pt 3.58
Nd: 0.0561 0.2500 0.2500 x24  2 Pt 2.94
Nd: 0.1049 0.1049 0.6049 x16  3 Pt 2.95
Zn: 0.1702 0.1702 0.8298 x16  3 Zn 3.16, 6 Nd 3.38-3.40
Pt: 0.1057 0.1057 0.3943 x16  6 Nd 2.94-2.95

Values from the calculation:
Calculated volume, Å³ per cell: 2737.21
ΔH_f (0 K), eV/f.u.: -2.972
Energy above the lowest structure with this stoichiometry, meV/atom: 0
Total DFT energy (no corrections), eV per atom: -4.8930
Magnetization, μB/f.u.: 0.00

# 3
Lu2NbH | GGA-PBE | relaxed

Cell: 3.1152 3.1152 7.7206 Å, 90.00 90.00 90.00°
With the nearest neighbours (Å) after each atom.
Space group P4/mmm (No. 123)
Inequivalent atoms, fractional coordinates:
Lu: 0.0000 0.0000 0.2120 x2  4 H 2.74
Nb: 0.5000 0.5000 0.5000 x1  4 Nb 3.12, 8 Lu 3.13
H: 0.5000 0.5000 0.0000 x1  8 Lu 2.74

Values from the calculation:
Calculated volume, Å³ per cell: 74.93
Energy above the lowest structure with this stoichiometry, meV/atom: 0
Total DFT energy (no corrections), eV per atom: -5.4180
Magnetization, μB/f.u.: 0.00

- Among the records above, which one has the lowest calculated volume?
  Lu2NbH

- Which value of calculated volume does entry 3 give?
  74.93 Å³ per cell

- Which value of calculated volume does entry 1 give?
  685.77 Å³ per cell